(1)
First-principles (GGA-PBE) data for a relaxed structure of Ga4Mo2I, as listed in the Alexandria database.

Output
Raw total energy = -3.9585 eV/atom
Total moment = 0.00 μB/atom

Unit cell a=5.4799 b=5.4799 c=7.7111 alpha=69.19 beta=69.19 gamma=90.00
Positions (direct):
I 0.0000 0.0000 0.0000
Mo 0.5799 0.5799 0.8401
Mo 0.4201 0.4201 0.1599
Ga 0.0000 0.5000 0.0000
Ga 0.5000 0.0000 0.0000
Ga 0.2145 0.2145 0.5710
Ga 0.7855 0.7855 0.4290



(2)
First-principles (GGA-PBE) data for a relaxed structure of Tl5SiTe4I2, as listed in the Alexandria database.

Output
Raw total energy = -3.0714 eV/atom
Total moment = 0.00 μB/atom

Unit cell a=9.2632 b=6.9426 c=10.0357 alpha=90.00 beta=90.00 gamma=131.85
Positions (direct):
Tl 0.1262 0.3695 0.7656
Tl 0.1262 0.3695 0.2344
Tl 0.7566 0.6305 0.2344
Tl 0.4299 0.0000 0.5000
Tl 0.7566 0.6305 0.7656
I 0.9544 0.5249 0.5000
I 0.4295 0.4751 0.5000
Te 0.5321 0.0000 0.1913
Te 0.5321 0.0000 0.8087
Te 0.4123 0.4121 0.0000
Te 0.0002 0.5879 0.0000
Si 0.3494 0.0000 0.0000



(3)
First-principles (GGA-PBE) data for a relaxed structure of LiCa12Hg6, as listed in the Alexandria database.

Output
DFT formation energy = -199 meV per atom
Total moment = 0.00 μB/atom

Unit cell a=8.9465 b=8.9465 c=8.9465 alpha=100.09 beta=100.09 gamma=100.09
Positions (direct):
Ca 0.6720 0.9241 0.0270
Ca 0.4158 0.5584 0.1802
Ca 0.9730 0.3280 0.0759
Ca 0.9241 0.0270 0.6720
Ca 0.4416 0.8198 0.5842
Ca 0.0759 0.9730 0.3280
Ca 0.8198 0.5842 0.4416
Ca 0.1802 0.4158 0.5584
Ca 0.5842 0.4416 0.8198
Ca 0.3280 0.0759 0.9730
Ca 0.5584 0.1802 0.4158
Ca 0.0270 0.6720 0.9241
Hg 0.6863 0.8668 0.3596
Hg 0.3596 0.6863 0.8668
Hg 0.3137 0.1332 0.6404
Hg 0.6404 0.3137 0.1332
Hg 0.1332 0.6404 0.3137
Hg 0.8668 0.3596 0.6863
Li 0.0000 0.0000 0.0000



(4)
First-principles (GGA-PBE) data for a relaxed structure of PaNi2Te3, as listed in the Alexandria database.

Output
Raw total energy = -5.5957 eV/atom
Total moment = 0.00 μB/atom

Unit cell a=4.0592 b=6.9358 c=10.7356 alpha=96.00 beta=90.00 gamma=90.00
Positions (direct):
Te 0.7500 0.9843 0.1875
Te 0.2500 0.0157 0.8125
Te 0.7500 0.5937 0.8864
Te 0.2500 0.2816 0.4546
Te 0.2500 0.4063 0.1136
Te 0.7500 0.7184 0.5454
Ni 0.7500 0.0466 0.4296
Ni 0.7500 0.6258 0.1343
Ni 0.2500 0.9534 0.5704
Ni 0.2500 0.3742 0.8657
Pa 0.2500 0.7466 0.3223
Pa 0.7500 0.2534 0.6777